[1]
DFT (PBEsol) results for a geometry-optimized Li2MgHg2 structure.

Geometry as POSCAR:
```
Li2MgHg2
1.0
3.246 0.000 0.000
0.000 7.598 0.000
0.000 0.000 7.598
Li Hg Mg
4 4 2
Direct
0.500 0.656 0.844 Li
0.500 0.156 0.656 Li
0.500 0.844 0.344 Li
0.500 0.344 0.156 Li
0.000 0.359 0.859 Hg
0.000 0.141 0.359 Hg
0.000 0.859 0.641 Hg
0.000 0.641 0.141 Hg
0.000 0.500 0.500 Mg
0.000 0.000 0.000 Mg
```

[2]
DFT (PBEsol) results for a geometry-optimized LiMgHg2 structure.

Geometry as POSCAR:
```
LiMgHg2
1.0
-2.847 -0.600 2.411
0.751 -4.394 -0.206
3.955 2.829 2.412
Hg Li Mg
2 1 1
Direct
0.002 0.002 0.003 Hg
0.757 0.257 0.514 Hg
0.491 0.491 0.982 Li
0.250 0.750 0.501 Mg
```

[3]
DFT (PBEsol) results for a geometry-optimized LiMgHg2 structure.

Geometry as POSCAR:
```
LiMgHg2
1.0
-2.389 2.509 3.251
-4.503 1.274 -0.821
-3.528 -2.033 2.448
Hg Mg Li
2 1 1
Direct
0.000 0.000 0.000 Hg
0.750 0.750 0.750 Hg
0.250 0.250 0.250 Mg
0.500 0.500 0.500 Li
```

[4]
DFT (PBEsol) results for a geometry-optimized LiMgHg2 structure.

Geometry as POSCAR:
```
LiMgHg2
1.0
-2.005 0.937 -2.594
2.808 -2.330 -3.012
-2.418 -3.793 2.739
Hg Li Mg
2 1 1
Direct
0.002 0.039 0.004 Hg
0.243 0.703 0.487 Hg
0.507 0.545 0.015 Li
0.747 0.213 0.494 Mg
```

[5]
DFT (PBEsol) results for a geometry-optimized LiMgHg2 structure.

Geometry as POSCAR:
```
LiMgHg2
1.0
4.226 0.000 0.000
0.000 4.226 0.000
-2.113 -2.113 4.284
Mg Li Hg
1 1 2
Direct
0.250 0.750 0.500 Mg
0.500 0.500 0.000 Li
0.000 0.000 0.000 Hg
0.750 0.250 0.500 Hg
```

[6]
DFT (PBEsol) results for a geometry-optimized LiMg2ScHg structure.

Geometry as POSCAR:
```
LiMg2ScHg
1.0
-3.473 2.615 -2.023
-0.772 -3.679 -3.431
-3.423 -2.159 3.085
Hg Mg Li Sc
1 2 1 1
Direct
0.000 0.000 0.000 Hg
0.000 0.000 0.500 Mg
0.000 0.500 0.000 Mg
0.500 0.000 0.000 Li
0.500 0.500 0.500 Sc
```

[7]
DFT (PBEsol) results for a geometry-optimized LiY2MgHg structure.

Geometry as POSCAR:
```
LiY2MgHg
1.0
-1.560 4.079 -1.730
-3.070 -2.803 -3.840
-4.367 -0.144 3.597
Y Li Mg Hg
2 1 1 1
Direct
0.000 0.000 0.500 Y
0.000 0.500 0.000 Y
0.500 0.000 0.000 Li
0.500 0.500 0.500 Mg
0.000 0.000 0.000 Hg
```

[8]
DFT (PBEsol) results for a geometry-optimized LiMnHg3 structure.

Geometry as POSCAR:
```
LiMnHg3
1.0
5.091 0.000 0.000
0.000 5.091 0.000
0.000 0.000 5.091
Mn Hg Li
1 3 1
Direct
0.000 0.000 0.000 Mn
0.000 0.500 0.000 Hg
0.000 0.000 0.500 Hg
0.500 0.000 0.000 Hg
0.500 0.500 0.500 Li
```

[9]
DFT (PBEsol) results for a geometry-optimized LiMn2Hg structure.

Geometry as POSCAR:
```
LiMn2Hg
1.0
3.223 0.000 0.000
0.000 3.223 0.000
0.000 0.000 6.004
Hg Mn Li
1 2 1
Direct
0.500 0.500 0.000 Hg
0.000 0.000 0.729 Mn
0.000 0.000 0.271 Mn
0.500 0.500 0.500 Li
```

[10]
DFT (PBEsol) results for a geometry-optimized LiMnHg structure.

Geometry as POSCAR:
```
LiMnHg
1.0
2.786 0.000 0.000
0.000 4.464 0.000
0.000 -2.232 3.866
Li Hg Mn
1 1 1
Direct
0.679 0.667 0.333 Li
0.949 0.000 0.000 Hg
0.372 0.333 0.667 Mn
```

[11]
DFT (PBEsol) results for a geometry-optimized LiMn2Hg structure.

Geometry as POSCAR:
```
LiMn2Hg
1.0
-0.880 -1.226 2.443
1.887 -1.360 1.685
1.957 7.006 5.909
Li Mn Hg
1 2 1
Direct
0.000 0.000 0.000 Li
0.748 0.748 0.755 Mn
0.252 0.252 0.245 Mn
0.500 0.500 0.500 Hg
```

[12]
DFT (PBEsol) results for a geometry-optimized LiHg4Mo structure.

Geometry as POSCAR:
```
LiHg4Mo
1.0
5.662 0.000 0.000
2.831 4.903 0.000
2.831 1.634 4.623
Mo Hg Li
1 4 1
Direct
0.000 0.000 0.000 Mo
0.375 0.375 0.875 Hg
0.875 0.375 0.375 Hg
0.375 0.875 0.375 Hg
0.375 0.375 0.375 Hg
0.750 0.750 0.750 Li
```

no.,formation enthalpy at 0 K (eV/f.u.)
1,-1.68
2,-1.24
3,-1.22
4,-1.28
5,-1.25
6,1.13
7,0.76
8,1.67
9,1.91
10,0.52
11,2.25
12,3.22